# 1
# ErAg5S4

A relaxed ErAg5S4 crystal (PBE-GGA, the Alexandria database).

The value obtained for the energy is -80.39 eV for the cell shown. For the formation energy without anion corrections, the calculation gives -4.867 eV per formula unit.

The structure belongs to space group Immm (No. 71); the cell edges are 4.034, 7.334 and 14.313 Å and the angles 90.00°, 90.00° and 90.00°. The distinct sites, in fractional coordinates, are Er at (0.000, 0.000, 0.000), Ag at (0.000, 0.236, 0.322), Ag at (0.000, 0.500, 0.000), S at (0.000, 0.000, 0.192) and S at (0.000, 0.244, 0.500).

---

# 2
# NpAlGa2Pt4

A relaxed NpAlGa2Pt4 crystal (PBE-GGA, the Alexandria database).

For the formation energy, the calculation gives -702 meV per atom. The value obtained for the energy is -157.54 eV for the cell shown.

The structure belongs to space group R-3m (No. 166, hexagonal axes); the cell edges are 4.3273, 4.3273 and 25.5020 Å and the angles 90.00°, 90.00° and 120.00°. The distinct sites, in fractional coordinates, are Np at (0.0000, 0.0000, 0.0000), Al at (0.0000, 0.0000, 0.5000), Ga at (0.0000, 0.0000, 0.2465), Pt at (0.0000, 0.0000, 0.1357) and Pt at (0.0000, 0.0000, 0.3999).